Entry from Alexandria via LeMat-Bulk: crystalline Y2In4Ga at its relaxed geometry (GGA-PBE).

The structure in CIF format:
```
data_Y2In4Ga
_cell_length_a 8.800
_cell_length_b 8.829
_cell_length_c 6.446
_cell_angle_alpha 90.00
_cell_angle_beta 132.95
_cell_angle_gamma 90.00
_space_group_name_H-M_alt 'C 1 2/m 1'
_space_group_IT_number 12
_space_group_name_Hall '-C 2y'
loop_
_atom_site_label
_atom_site_fract_x
_atom_site_fract_y
_atom_site_fract_z
Y1 0.250 0.250 0.000
In1 0.000 0.000 0.500
In2 0.000 0.500 0.500
In3 0.250 0.250 0.500
Ga1 0.000 0.000 0.000
```

Calculated values
DFT total energy, eV per atom: -4.187


Entry from Alexandria via LeMat-Bulk: crystalline Y2InGa at its relaxed geometry (GGA-PBE).

The structure in CIF format:
```
data_Y2InGa
_cell_length_a 7.366
_cell_length_b 7.366
_cell_length_c 7.366
_cell_angle_alpha 90.00
_cell_angle_beta 90.00
_cell_angle_gamma 90.00
_space_group_name_H-M_alt 'F m -3 m'
_space_group_IT_number 225
_space_group_name_Hall '-F 4 2 3'
loop_
_atom_site_label
_atom_site_fract_x
_atom_site_fract_y
_atom_site_fract_z
Y1 0.250 0.250 0.250
In1 0.000 0.000 0.000
Ga1 0.000 0.000 0.500
```

Calculated values
Offset from the most stable computed form, meV per atom: 23.2


Entry from Alexandria via LeMat-Bulk: crystalline Y3InGa at its relaxed geometry (GGA-PBE).

The structure in CIF format:
```
data_Y3InGa
_cell_length_a 5.428
_cell_length_b 5.428
_cell_length_c 5.428
_cell_angle_alpha 90.00
_cell_angle_beta 90.00
_cell_angle_gamma 90.00
_space_group_name_H-M_alt 'P m -3 m'
_space_group_IT_number 221
_space_group_name_Hall '-P 4 2 3'
loop_
_atom_site_label
_atom_site_fract_x
_atom_site_fract_y
_atom_site_fract_z
Y1 0.000 0.000 0.500
In1 0.500 0.500 0.500
Ga1 0.000 0.000 0.000
```

Calculated values
Offset from the most stable computed form, meV per atom: 263.5


Entry from Alexandria via LeMat-Bulk: crystalline Y3In12Ga5 at its relaxed geometry (GGA-PBE).

The structure in CIF format:
```
data_Y3In12Ga5
_cell_length_a 16.980
_cell_length_b 16.980
_cell_length_c 16.980
_cell_angle_alpha 90.00
_cell_angle_beta 90.00
_cell_angle_gamma 90.00
_space_group_name_H-M_alt 'I a -3 d'
_space_group_IT_number 230
_space_group_name_Hall '-I 4bd 2c 3'
loop_
_atom_site_label
_atom_site_fract_x
_atom_site_fract_y
_atom_site_fract_z
Y1 0.000 0.250 0.125
In1 0.028 0.072 0.646
Ga1 0.000 0.000 0.000
Ga2 0.000 0.250 0.375
```

Calculated values
DFT total energy, eV per atom: -3.212


Entry from Alexandria via LeMat-Bulk: crystalline Y2In5Ga at its relaxed geometry (GGA-PBE).

The structure in CIF format:
```
data_Y2In5Ga
_cell_length_a 6.522
_cell_length_b 13.057
_cell_length_c 4.561
_cell_angle_alpha 90.00
_cell_angle_beta 90.00
_cell_angle_gamma 90.00
_space_group_name_H-M_alt 'P b a m'
_space_group_IT_number 55
_space_group_name_Hall '-P 2 2ab'
loop_
_atom_site_label
_atom_site_fract_x
_atom_site_fract_y
_atom_site_fract_z
Y1 0.236 0.120 0.000
In1 0.000 0.500 0.500
In2 0.012 0.752 0.500
In3 0.242 0.374 0.000
Ga1 0.000 0.000 0.500
```

Calculated values
DFT total energy, eV per atom: -4.133


Entry from Alexandria via LeMat-Bulk: crystalline YInGa at its relaxed geometry (GGA-PBE).

The structure in CIF format:
```
data_YInGa
_cell_length_a 3.253
_cell_length_b 3.253
_cell_length_c 15.768
_cell_angle_alpha 90.00
_cell_angle_beta 90.00
_cell_angle_gamma 90.00
_space_group_name_H-M_alt 'I 4 m m'
_space_group_IT_number 107
_space_group_name_Hall 'I 4 -2'
loop_
_atom_site_label
_atom_site_fract_x
_atom_site_fract_y
_atom_site_fract_z
Y1 0.000 0.000 0.000
In1 0.000 0.000 0.802
Ga1 0.000 0.000 0.629
```

Calculated values
Offset from the most stable computed form, meV per atom: 504.0


Entry from Alexandria via LeMat-Bulk: crystalline Y2InGa at its relaxed geometry (GGA-PBE).

The structure in CIF format:
```
data_Y2InGa
_cell_length_a 3.7000
_cell_length_b 3.7000
_cell_length_c 27.3780
_cell_angle_alpha 90.00
_cell_angle_beta 90.00
_cell_angle_gamma 120.00
_space_group_name_H-M_alt 'R -3 m'
_space_group_IT_number 166
_space_group_name_Hall '-R 3 2"'
loop_
_atom_site_label
_atom_site_fract_x
_atom_site_fract_y
_atom_site_fract_z
Y1 0.0000 0.0000 0.2439
In1 0.0000 0.0000 0.0000
Ga1 0.0000 0.0000 0.5000
```

Calculated values
Offset from the most stable computed form, meV per atom: 139.4


Entry from Alexandria via LeMat-Bulk: crystalline Y4In3Ga at its relaxed geometry (GGA-PBE).

The structure in CIF format:
```
data_Y4In3Ga
_cell_length_a 3.675
_cell_length_b 3.675
_cell_length_c 15.293
_cell_angle_alpha 90.00
_cell_angle_beta 90.00
_cell_angle_gamma 90.00
_space_group_name_H-M_alt 'P 4/m m m'
_space_group_IT_number 123
_space_group_name_Hall '-P 4 2'
loop_
_atom_site_label
_atom_site_fract_x
_atom_site_fract_y
_atom_site_fract_z
Y1 0.000 0.000 0.114
Y2 0.000 0.000 0.371
In1 0.500 0.500 0.243
In2 0.500 0.500 0.500
Ga1 0.500 0.500 0.000
```

Calculated values
DFT total energy, eV per atom: -5.159


Entry from Alexandria via LeMat-Bulk: crystalline Y4InGa at its relaxed geometry (GGA-PBE).

The structure in CIF format:
```
data_Y4InGa
_cell_length_a 5.698
_cell_length_b 6.807
_cell_length_c 8.752
_cell_angle_alpha 90.00
_cell_angle_beta 98.72
_cell_angle_gamma 90.00
_space_group_name_H-M_alt 'P 1 21/m 1'
_space_group_IT_number 11
_space_group_name_Hall '-P 2yb'
loop_
_atom_site_label
_atom_site_fract_x
_atom_site_fract_y
_atom_site_fract_z
Y1 0.159 0.250 0.062
Y2 0.205 0.750 0.375
Y3 0.321 0.506 0.750
In1 0.236 0.250 0.424
Ga1 0.348 0.750 0.045
```

Calculated values
Offset from the most stable computed form, meV per atom: 0.0


Entry from Alexandria via LeMat-Bulk: crystalline Y4In2Ga at its relaxed geometry (GGA-PBE).

The structure in CIF format:
```
data_Y4In2Ga
_cell_length_a 5.393
_cell_length_b 5.393
_cell_length_c 15.259
_cell_angle_alpha 90.00
_cell_angle_beta 90.00
_cell_angle_gamma 90.00
_space_group_name_H-M_alt 'I 4/m m m'
_space_group_IT_number 139
_space_group_name_Hall '-I 4 2'
loop_
_atom_site_label
_atom_site_fract_x
_atom_site_fract_y
_atom_site_fract_z
Y1 0.000 0.000 0.184
Y2 0.000 0.500 0.000
In1 0.000 0.000 0.383
Ga1 0.000 0.000 0.000
```

Calculated values
Offset from the most stable computed form, meV per atom: 181.6


Entry from Alexandria via LeMat-Bulk: crystalline Y2ZnInGa at its relaxed geometry (GGA-PBE).

The structure in CIF format:
```
data_Y2ZnInGa
_cell_length_a 7.226
_cell_length_b 4.509
_cell_length_c 7.593
_cell_angle_alpha 90.00
_cell_angle_beta 107.40
_cell_angle_gamma 90.00
_space_group_name_H-M_alt 'P 1 21/m 1'
_space_group_IT_number 11
_space_group_name_Hall '-P 2yb'
loop_
_atom_site_label
_atom_site_fract_x
_atom_site_fract_y
_atom_site_fract_z
Y1 0.141 0.250 0.370
Y2 0.305 0.250 0.946
Zn1 0.090 0.750 0.056
In1 0.336 0.750 0.657
Ga1 0.419 0.750 0.290
```

Calculated values
DFT total energy, eV per atom: -4.430


Entry from Alexandria via LeMat-Bulk: crystalline Zn3InGa at its relaxed geometry (GGA-PBE).

The structure in CIF format:
```
data_Zn3InGa
_cell_length_a 5.149
_cell_length_b 5.149
_cell_length_c 5.149
_cell_angle_alpha 90.00
_cell_angle_beta 90.00
_cell_angle_gamma 90.00
_space_group_name_H-M_alt 'P m -3 m'
_space_group_IT_number 221
_space_group_name_Hall '-P 4 2 3'
loop_
_atom_site_label
_atom_site_fract_x
_atom_site_fract_y
_atom_site_fract_z
Zn1 0.000 0.000 0.500
In1 0.000 0.000 0.000
Ga1 0.500 0.500 0.500
```

Calculated values
Offset from the most stable computed form, meV per atom: 249.5